(1)
## As2PtPb (PBE-GGA)

Data for crystalline As2PtPb at its relaxed geometry.

Lattice parameters (Å, degrees): 7.1576 7.1576 7.1576 31.27 31.27 31.27
With the nearest neighbours (Å) after each atom.
Fractional positions:
As 0.0000 0.0000 0.0000  3 Pt 2.63, 3 As 2.69
As 0.2595 0.2595 0.2595  3 As 2.69
Pt 0.7351 0.7351 0.7351  3 As 2.63, 3 Pb 2.85
Pb 0.4886 0.4886 0.4886  3 Pt 2.85, 3 As 3.08

* crystal system: trigonal
* electronic total energy: -4.78 eV per atom
* total magnetization: 0.0 μB per cell
* space-group type: No. 160

=====

(2)
## LaMn (PBE-GGA)

Data for crystalline LaMn at its relaxed geometry.

Lattice parameters (Å, degrees): 6.9904 6.9904 6.9904 109.47 109.47 109.47
With the nearest neighbours (Å) after each atom.
Fractional positions:
La 0.0000 0.0000 0.4491  1 Mn 2.37
La 0.0000 0.4491 0.0000  1 Mn 2.37
La 0.4491 0.0000 0.0000  1 Mn 2.37
La 0.5509 0.5509 0.5509  1 Mn 2.37
Mn 0.0000 0.0000 0.7885  1 La 2.37, 3 Mn 2.41
Mn 0.0000 0.7885 0.0000  1 La 2.37, 3 Mn 2.41
Mn 0.2115 0.2115 0.2115  1 La 2.37, 3 Mn 2.41
Mn 0.7885 0.0000 0.0000  1 La 2.37, 3 Mn 2.41

* crystal system: cubic
* electronic total energy: -6.31 eV per atom
* total magnetization: 6.5 μB per cell
* space-group type: No. 217